K3Pu2PtS6 | GGA-PBE | relaxed

Computed properties:
Crystal system   monoclinic
Uncorrected formation energy   -1178 meV per atom
Total magnetization   9.02 Bohr magnetons per cell

CIF file:
```
data_K3Pu2PtS6
_chemical_formula_sum 'K3 Pu2 Pt1 S6'
_space_group_name_H-M_alt 'P 1'
_space_group_IT_number 1
_space_group_name_Hall 'P 1'
_cell_length_a 6.8612
_cell_length_b 6.8612
_cell_length_c 7.6975
_cell_angle_alpha 98.04
_cell_angle_beta 98.04
_cell_angle_gamma 120.73
loop_
_atom_site_label
_atom_site_fract_x
_atom_site_fract_y
_atom_site_fract_z
Pu1 0.3314 0.6686 0.0000
Pu2 0.6686 0.3314 0.0000
K1 0.1636 0.8364 0.5000
K2 0.8364 0.1636 0.5000
K3 0.5000 0.5000 0.5000
S1 0.0688 0.3996 0.2035
S2 0.3996 0.0688 0.2035
S3 0.7580 0.7580 0.1840
S4 0.6004 0.9312 0.7965
S5 0.2420 0.2420 0.8160
S6 0.9312 0.6004 0.7965
Pt1 0.0000 0.0000 0.0000
```

Tb7PrDy4 | GGA-PBE | relaxed

Computed properties:
Offset from the most stable computed form   267 meV/atom
Crystal system   monoclinic
Total magnetization   0.00 Bohr magnetons per cell
Formation energy from the elements   3.2 eV per formula unit

CIF file:
```
data_Tb7PrDy4
_chemical_formula_sum 'Tb7 Pr1 Dy4'
_space_group_name_H-M_alt 'P 1'
_space_group_IT_number 1
_space_group_name_Hall 'P 1'
_cell_length_a 5.9102
_cell_length_b 11.5485
_cell_length_c 6.7198
_cell_angle_alpha 83.08
_cell_angle_beta 63.91
_cell_angle_gamma 75.17
loop_
_atom_site_label
_atom_site_fract_x
_atom_site_fract_y
_atom_site_fract_z
Tb1 0.2104 0.0784 0.5007
Tb2 0.7896 0.9216 0.4993
Tb3 0.9403 0.3296 0.7898
Tb4 0.5000 0.0000 0.0000
Tb5 0.3674 0.5028 0.7623
Tb6 0.6326 0.4972 0.2377
Tb7 0.0597 0.6704 0.2102
Dy1 0.3668 0.7751 0.4913
Dy2 0.7512 0.6824 0.8151
Dy3 0.2488 0.3176 0.1849
Dy4 0.6332 0.2249 0.5087
Pr1 0.0000 0.0000 0.0000
```

Na3SO4F | GGA-PBE | relaxed

Computed properties:
Offset from the most stable computed form   22 meV/atom
Crystal system   cubic
Uncorrected formation energy   -2002 meV per atom
Total magnetization   0.07 Bohr magnetons per cell

CIF file:
```
data_Na3SO4F
_chemical_formula_sum 'Na3 S1 O4 F1'
_space_group_name_H-M_alt 'P 1'
_space_group_IT_number 1
_space_group_name_Hall 'P 1'
_cell_length_a 4.9375
_cell_length_b 4.9375
_cell_length_c 4.9375
_cell_angle_alpha 90.00
_cell_angle_beta 90.00
_cell_angle_gamma 90.00
loop_
_atom_site_label
_atom_site_fract_x
_atom_site_fract_y
_atom_site_fract_z
Na1 0.0000 0.0000 0.5000
Na2 0.0000 0.5000 0.0000
Na3 0.5000 0.0000 0.0000
O1 0.3255 0.6745 0.6745
O2 0.6745 0.6745 0.3255
O3 0.3255 0.3255 0.3255
O4 0.6745 0.3255 0.6745
S1 0.5000 0.5000 0.5000
F1 0.0000 0.0000 0.0000
```